(1)
Density functional theory data (PBE-GGA) for a relaxed Y2Ga9Ir3 crystal.

**VASP energy**: -0.1999 Ha/atom
**Mass density**: 9.66 g cm⁻³
**Energy relative to the elements**: -0.6717 eV/atom

a b c (Å): 7.5812 7.5812 9.5259
angles (deg): 90.00 90.00 60.18
Closest atoms and distances in Å follow each position.
Fractional positions:
1 Y 0.0023 0.6694 0.7500  11 Ga 3.01-3.16
2 Y 0.3306 0.9977 0.7500  11 Ga 3.01-3.16
3 Y 0.6694 0.0023 0.2500  11 Ga 3.01-3.16
4 Y 0.9977 0.3306 0.2500  11 Ga 3.01-3.16
5 Ga 0.0002 0.3346 0.5800  3 Ir 2.58-2.65, 3 Ga 2.74-2.88
6 Ga 0.0002 0.3346 0.9200  3 Ir 2.58-2.65, 3 Ga 2.74-2.88
7 Ga 0.9998 0.6654 0.0800  3 Ir 2.58-2.65, 3 Ga 2.74-2.88
8 Ga 0.9998 0.6654 0.4200  3 Ir 2.58-2.65, 3 Ga 2.74-2.88
9 Ga 0.1285 0.8715 0.2500  2 Ir 2.57, 6 Ga 2.74-2.75
10 Ga 0.3326 0.6674 0.5650  3 Ir 2.60-2.66, 5 Ga 2.81-2.88
11 Ga 0.3326 0.6674 0.9350  3 Ir 2.60-2.66, 5 Ga 2.81-2.88
12 Ga 0.3346 0.0002 0.0800  3 Ir 2.58-2.65, 3 Ga 2.74-2.88
13 Ga 0.3346 0.0002 0.4200  3 Ir 2.58-2.65, 3 Ga 2.74-2.88
14 Ga 0.3390 0.4536 0.2500  2 Ir 2.58, 6 Ga 2.72-2.81
15 Ga 0.4536 0.3390 0.7500  2 Ir 2.58, 6 Ga 2.72-2.81
16 Ga 0.5464 0.6610 0.2500  2 Ir 2.58, 6 Ga 2.72-2.81
17 Ga 0.6610 0.5464 0.7500  2 Ir 2.58, 6 Ga 2.72-2.81
18 Ga 0.6654 0.9998 0.5800  3 Ir 2.58-2.65, 3 Ga 2.74-2.88
19 Ga 0.6654 0.9998 0.9200  3 Ir 2.58-2.65, 3 Ga 2.74-2.88
20 Ga 0.6674 0.3326 0.0650  3 Ir 2.60-2.66, 5 Ga 2.81-2.88
21 Ga 0.6674 0.3326 0.4350  3 Ir 2.60-2.66, 5 Ga 2.81-2.88
22 Ga 0.8715 0.1285 0.7500  2 Ir 2.57, 6 Ga 2.74-2.75
23 Ir 0.0000 0.0000 0.0000  8 Ga 2.57-2.65
24 Ir 0.0000 0.0000 0.5000  8 Ga 2.57-2.65
25 Ir 0.3286 0.3286 0.0000  8 Ga 2.58-2.66
26 Ir 0.3286 0.3286 0.5000  8 Ga 2.58-2.66
27 Ir 0.6714 0.6714 0.0000  8 Ga 2.58-2.66
28 Ir 0.6714 0.6714 0.5000  8 Ga 2.58-2.66

(2)
Density functional theory data (PBE-GGA) for a relaxed NdGeHRu crystal.

**VASP energy**: -0.2264 Ha/atom
**Mass density**: 8.00 g cm⁻³

a b c (Å): 4.1997 4.1997 7.5027
angles (deg): 90.00 90.00 90.00
Closest atoms and distances in Å follow each position.
Fractional positions:
1 Nd 0.2500 0.2500 0.1637  4 H 2.43
2 Nd 0.7500 0.7500 0.8363  4 H 2.43
3 Ge 0.2500 0.2500 0.6728  4 Ru 2.47
4 Ge 0.7500 0.7500 0.3272  4 Ru 2.47
5 H 0.2500 0.7500 0.0000  4 Nd 2.43
6 H 0.7500 0.2500 0.0000  4 Nd 2.43
7 Ru 0.2500 0.7500 0.5000  4 Ge 2.47
8 Ru 0.7500 0.2500 0.5000  4 Ge 2.47

(3)
Density functional theory data (PBE-GGA) for a relaxed CrGaNiRh crystal.

**VASP energy**: -0.2456 Ha/atom
**Mass density**: 8.86 g cm⁻³
**Energy relative to the elements**: -0.2385 eV/atom

a b c (Å): 4.2185 4.2185 4.2185
angles (deg): 60.00 60.00 60.00
Closest atoms and distances in Å follow each position.
Fractional positions:
1 Cr 0.0000 0.0000 0.0000  4 Ni 2.58, 4 Rh 2.58
2 Ga 0.5000 0.5000 0.5000  4 Ni 2.58, 4 Rh 2.58
3 Ni 0.7500 0.7500 0.7500  4 Ga 2.58, 4 Cr 2.58
4 Rh 0.2500 0.2500 0.2500  4 Ga 2.58, 4 Cr 2.58

(4)
Density functional theory data (PBE-GGA) for a relaxed HfCo5Si3 crystal.

**VASP energy**: -0.2674 Ha/atom
**Mass density**: 7.90 g cm⁻³
**Formation energy from raw total energies**: -0.41 eV/atom

a b c (Å): 6.1187 6.1187 11.4121
angles (deg): 90.00 90.00 146.73
Closest atoms and distances in Å follow each position.
Fractional positions:
1 Hf 0.1200 0.8800 0.7500  6 Co 2.85-3.18, 5 Si 2.90-2.97
2 Hf 0.8800 0.1200 0.2500  6 Co 2.85-3.18, 5 Si 2.90-2.97
3 Co 0.0000 0.0000 0.0000  4 Si 2.29, 6 Co 2.44-2.49
4 Co 0.0000 0.0000 0.5000  4 Si 2.29, 6 Co 2.44-2.49
5 Co 0.1967 0.8033 0.0691  4 Si 2.18-2.33, 1 Co 2.44
6 Co 0.1967 0.8033 0.4309  4 Si 2.18-2.33, 1 Co 2.44
7 Co 0.4558 0.5442 0.6480  4 Si 2.28-2.32, 3 Co 2.33-2.49
8 Co 0.4558 0.5442 0.8520  4 Si 2.28-2.32, 3 Co 2.33-2.49
9 Co 0.5442 0.4558 0.1480  4 Si 2.28-2.32, 3 Co 2.33-2.49
10 Co 0.5442 0.4558 0.3520  4 Si 2.28-2.32, 3 Co 2.33-2.49
11 Co 0.8033 0.1967 0.5691  4 Si 2.18-2.33, 1 Co 2.44
12 Co 0.8033 0.1967 0.9309  4 Si 2.18-2.33, 1 Co 2.44
13 Si 0.1271 0.8729 0.2500  6 Co 2.22-2.32
14 Si 0.3805 0.6195 0.0402  7 Co 2.18-2.33
15 Si 0.3805 0.6195 0.4598  7 Co 2.18-2.33
16 Si 0.6195 0.3805 0.5402  7 Co 2.18-2.33
17 Si 0.6195 0.3805 0.9598  7 Co 2.18-2.33
18 Si 0.8729 0.1271 0.7500  6 Co 2.22-2.32

(5)
Density functional theory data (PBE-GGA) for a relaxed Ba2ZrSeI crystal.

**VASP energy**: -0.1489 Ha/atom
**Mass density**: 4.49 g cm⁻³
**Formation energy from raw total energies**: -0.57 eV/atom

a b c (Å): 6.4292 6.4292 5.1145
angles (deg): 90.00 90.00 90.00
Closest atoms and distances in Å follow each position.
Fractional positions:
1 Ba 0.0000 0.5000 0.0000  2 Zr 3.21
2 Ba 0.5000 0.0000 0.0000  2 Zr 3.21
3 Zr 0.0000 0.0000 0.0000  2 Se 2.56
4 Se 0.0000 0.0000 0.5000  2 Zr 2.56
5 I 0.5000 0.5000 0.5000  8 Ba 4.11, 4 Se 4.55

(6)
Density functional theory data (PBE-GGA) for a relaxed NaCaAlTe3 crystal.

**VASP energy**: -0.1346 Ha/atom
**Mass density**: 3.60 g cm⁻³
**Formation energy from raw total energies**: -0.91 eV/atom

a b c (Å): 9.0846 4.3730 11.4746
angles (deg): 90.00 106.99 90.00
Closest atoms and distances in Å follow each position.
Fractional positions:
1 Na 0.2193 0.2500 0.1731  4 Te 3.08-3.29
2 Na 0.7807 0.7500 0.8269  4 Te 3.08-3.29
3 Ca 0.3330 0.7500 0.8856  5 Te 3.09-3.26
4 Ca 0.6670 0.2500 0.1144  5 Te 3.09-3.26
5 Al 0.0724 0.2500 0.6217  4 Te 2.56-2.75
6 Al 0.9276 0.7500 0.3783  4 Te 2.56-2.75
7 Te 0.0558 0.2500 0.8403  1 Al 2.56
8 Te 0.2073 0.7500 0.5494  3 Al 2.72-2.75
9 Te 0.4565 0.7500 0.1687  2 Na 3.08, 3 Ca 3.09-3.11
10 Te 0.5435 0.2500 0.8313  2 Na 3.08, 3 Ca 3.09-3.11
11 Te 0.7927 0.2500 0.4506  3 Al 2.72-2.75
12 Te 0.9442 0.7500 0.1597  1 Al 2.56

(7)
Density functional theory data (PBE-GGA) for a relaxed Tb3Pm5Ho3 crystal.

**VASP energy**: -0.1591 Ha/atom
**Mass density**: 7.49 g cm⁻³
**Energy relative to the elements**: 0.3420 eV/atom
**ΔE to the lowest computed polymorph**: 0.21 eV per formula unit

a b c (Å): 11.1945 11.1945 3.4662
angles (deg): 90.00 90.00 120.00
Closest atoms and distances in Å follow each position.
Fractional positions:
1 Tb 0.0000 0.4052 0.0000  2 Pm 3.23, 2 Ho 3.32, 2 Tb 3.47
2 Tb 0.4052 0.0000 0.0000  2 Pm 3.23, 2 Ho 3.32, 2 Tb 3.47
3 Tb 0.5948 0.5948 0.0000  2 Pm 3.23, 2 Ho 3.32, 2 Tb 3.47
4 Pm 0.0000 0.1613 0.5000  4 Pm 3.13-3.47, 2 Tb 3.23, 2 Ho 3.32
5 Pm 0.1613 0.0000 0.5000  4 Pm 3.13-3.47, 2 Tb 3.23, 2 Ho 3.32
6 Pm 0.3333 0.6667 0.5000  2 Pm 3.47, 3 Ho 3.69, 6 Tb 3.82
7 Pm 0.6667 0.3333 0.5000  2 Pm 3.47, 3 Ho 3.69, 6 Tb 3.82
8 Pm 0.8387 0.8387 0.5000  4 Pm 3.13-3.47, 2 Tb 3.23, 2 Ho 3.32
9 Ho 0.0000 0.6582 0.5000  4 Pm 3.32-3.69, 2 Tb 3.32, 2 Ho 3.47
10 Ho 0.3418 0.3418 0.5000  4 Pm 3.32-3.69, 2 Tb 3.32, 2 Ho 3.47
11 Ho 0.6582 0.0000 0.5000  4 Pm 3.32-3.69, 2 Tb 3.32, 2 Ho 3.47

(8)
Density functional theory data (PBE-GGA) for a relaxed HoAlCu crystal.

**VASP energy**: -0.1611 Ha/atom
**Mass density**: 7.58 g cm⁻³
**Energy relative to the elements**: -0.2443 eV/atom

a b c (Å): 5.9470 5.9470 5.9470
angles (deg): 148.89 148.89 44.57
Closest atoms and distances in Å follow each position.
Fractional positions:
1 Ho 0.0000 0.0000 0.0000  4 Cu 3.01, 5 Al 3.16-3.29, 4 Ho 3.19
2 Al 0.7007 0.7007 0.0000  4 Cu 2.60
3 Cu 0.3183 0.3183 0.0000  4 Al 2.60

(9)
Density functional theory data (PBE-GGA) for a relaxed Re2Ir crystal.

**VASP energy**: -0.4084 Ha/atom
**Mass density**: 20.64 g cm⁻³
**Energy relative to the elements**: 0.1394 eV/atom
**ΔE to the lowest computed polymorph**: 1.00 eV per formula unit

a b c (Å): 4.3839 4.3839 2.7289
angles (deg): 90.00 90.00 120.00
Closest atoms and distances in Å follow each position.
Fractional positions:
1 Re 0.3333 0.6667 0.0000  5 Re 2.53-2.73
2 Re 0.6667 0.3333 0.0000  5 Re 2.53-2.73
3 Ir 0.0000 0.0000 0.5000  2 Ir 2.73, 12 Re 2.88

(10)
Density functional theory data (PBE-GGA) for a relaxed Ta2Ti2Au crystal.

**VASP energy**: -0.3084 Ha/atom
**Mass density**: 12.22 g cm⁻³
**Energy relative to the elements**: 0.1619 eV/atom
**ΔE to the lowest computed polymorph**: 1.22 eV per formula unit

a b c (Å): 6.9171 6.9171 3.7197
angles (deg): 90.00 90.00 90.00
Closest atoms and distances in Å follow each position.
Fractional positions:
1 Ta 0.1674 0.3326 0.0000  6 Ti 2.70-2.79
2 Ta 0.3326 0.8326 0.0000  6 Ti 2.70-2.79
3 Ta 0.6674 0.1674 0.0000  6 Ti 2.70-2.79
4 Ta 0.8326 0.6674 0.0000  6 Ti 2.70-2.79
5 Ti 0.1320 0.6320 0.5000  1 Ti 2.58, 6 Ta 2.70-2.79, 2 Au 2.70
6 Ti 0.3680 0.1320 0.5000  1 Ti 2.58, 6 Ta 2.70-2.79, 2 Au 2.70
7 Ti 0.6320 0.8680 0.5000  1 Ti 2.58, 6 Ta 2.70-2.79, 2 Au 2.70
8 Ti 0.8680 0.3680 0.5000  1 Ti 2.58, 6 Ta 2.70-2.79, 2 Au 2.70
9 Au 0.0000 0.0000 0.5000  4 Ti 2.70
10 Au 0.5000 0.5000 0.5000  4 Ti 2.70

(11)
Density functional theory data (PBE-GGA) for a relaxed AcNd4Ru crystal.

**VASP energy**: -0.2003 Ha/atom
**Mass density**: 7.35 g cm⁻³
**Energy relative to the elements**: -0.0399 eV/atom

a b c (Å): 9.8761 9.8761 9.8761
angles (deg): 143.36 134.03 60.17
Closest atoms and distances in Å follow each position.
Fractional positions:
1 Ac 0.2011 0.2011 0.0000  12 Nd 3.76-4.01
2 Ac 0.7989 0.7989 0.0000  12 Nd 3.76-4.01
3 Nd 0.1498 0.3918 0.7580  2 Ru 3.03
4 Nd 0.2094 0.0000 0.2094  2 Ru 2.76
5 Nd 0.3354 0.8354 0.5000  2 Ru 3.24, 2 Nd 3.60
6 Nd 0.3662 0.6082 0.7580  2 Ru 3.03
7 Nd 0.6338 0.3918 0.2420  2 Ru 3.03
8 Nd 0.6646 0.1646 0.5000  2 Ru 3.24, 2 Nd 3.60
9 Nd 0.7906 0.0000 0.7906  2 Ru 2.76
10 Nd 0.8502 0.6082 0.2420  2 Ru 3.03
11 Ru 0.5000 0.2583 0.7583  6 Nd 2.76-3.03, 1 Ru 3.00
12 Ru 0.5000 0.7417 0.2417  6 Nd 2.76-3.03, 1 Ru 3.00

Number 1: D(E_F) 9.55 states/eV/cell. Number 2: D(E_F) 3.32 states/eV/cell. Number 3: D(E_F) 4.39 states/eV/cell. Number 4: D(E_F) 17.62 states/eV/cell. Number 5: D(E_F) 4.07 states/eV/cell. Number 6: D(E_F) 0.86 states/eV/cell. Number 7: D(E_F) 18.87 states/eV/cell. Number 8: D(E_F) 2.00 states/eV/cell. Number 9: D(E_F) 2.16 states/eV/cell. Number 10: D(E_F) 10.13 states/eV/cell. Number 11: D(E_F) 18.11 states/eV/cell.